[1]
Entry from Alexandria: crystalline Tb2Pr9Ho at its relaxed geometry (PBE-GGA). Values from VASP.

Quantum ESPRESSO input file:
```
&SYSTEM
  ibrav = 0, nat = 12, ntyp = 3
/
ATOMIC_SPECIES
Tb 158.93 Tb.upf
Pr 140.91 Pr.upf
Ho 164.93 Ho.upf
ATOMIC_POSITIONS angstrom
Tb 0.000 0.000 2.603
Tb 0.000 0.000 12.972
Pr 0.000 2.596 0.000
Pr 0.000 2.596 5.200
Pr 0.000 2.596 10.375
Pr 2.596 0.000 0.000
Pr 2.596 0.000 5.200
Pr 2.596 0.000 10.375
Pr 2.596 2.596 2.602
Pr 2.596 2.596 7.788
Pr 2.596 2.596 12.973
Ho 0.000 0.000 7.788
CELL_PARAMETERS angstrom
5.192 0.000 0.000
0.000 5.192 0.000
0.000 0.000 15.575
```

As for the energy of formation: 0.01 eV/atom. As for the volume: 34.990 A^3/atom. The value obtained for the raw total energy is -56.68 eV per formula unit. As for the size of the total moment: 0.00 μB/cell. The calculation puts the density of states at the Fermi level at 20.42 states/eV per cell.

=====

[2]
Entry from Alexandria: crystalline TbPr6Ho12 at its relaxed geometry (PBE-GGA). Values from VASP.

Quantum ESPRESSO input file:
```
&SYSTEM
  ibrav = 0, nat = 19, ntyp = 3
/
ATOMIC_SPECIES
Tb 158.93 Tb.upf
Pr 140.91 Pr.upf
Ho 164.93 Ho.upf
ATOMIC_POSITIONS angstrom
Tb 0.000 0.000 0.000
Pr 0.000 -4.290 3.593
Pr -3.715 2.145 3.593
Pr -3.715 -2.145 9.064
Pr 3.715 2.145 3.593
Pr 3.715 -2.145 9.064
Pr 0.000 4.290 9.064
Ho -1.824 -1.053 3.340
Ho -1.703 -2.949 6.329
Ho -3.405 0.000 6.329
Ho 1.824 -1.053 3.340
Ho 0.000 2.106 3.340
Ho 1.703 -2.949 6.329
Ho -1.703 2.949 6.329
Ho 0.000 -2.106 9.317
Ho -1.824 1.053 9.317
Ho 3.405 0.000 6.329
Ho 1.703 2.949 6.329
Ho 1.824 1.053 9.317
CELL_PARAMETERS angstrom
6.650 3.839 4.219
-6.650 3.839 4.219
0.000 -7.679 4.219
```

As for the energy of formation: 0.22 eV/atom. As for the volume: 34.014 A^3/atom. The value obtained for the raw total energy is -84.10 eV per formula unit. The value obtained for the distance to the lowest polymorph of the same formula is 0.000 eV per atom. As for the size of the total moment: 0.00 μB/cell. The calculation puts the density of states at the Fermi level at 30.41 states/eV per cell.

=====

[3]
Entry from Alexandria: crystalline TbPr2Ho5 at its relaxed geometry (PBE-GGA). Values from VASP.

Quantum ESPRESSO input file:
```
&SYSTEM
  ibrav = 0, nat = 16, ntyp = 3
/
ATOMIC_SPECIES
Tb 158.93 Tb.upf
Pr 140.91 Pr.upf
Ho 164.93 Ho.upf
ATOMIC_POSITIONS angstrom
Tb 0.000 0.000 0.000
Tb 3.575 7.150 0.000
Pr 1.789 1.791 2.529
Pr 1.786 8.941 2.529
Pr 5.365 5.358 2.529
Pr 5.362 12.508 2.529
Ho 0.000 3.577 0.000
Ho 0.000 7.150 0.000
Ho 7.151 10.722 0.000
Ho 1.789 5.363 2.529
Ho 1.786 12.513 2.529
Ho 3.575 0.000 0.000
Ho 3.576 3.573 0.000
Ho 3.575 10.727 0.000
Ho 5.365 1.787 2.529
Ho 5.362 8.936 2.529
CELL_PARAMETERS angstrom
7.151 0.000 0.000
0.000 14.300 0.000
0.000 0.000 5.057
```

As for the energy of formation: 0.02 eV/atom. As for the volume: 32.319 A^3/atom. The value obtained for the raw total energy is -36.90 eV per formula unit. The value obtained for the distance to the lowest polymorph of the same formula is 0.000 eV per atom. As for the size of the total moment: 0.00 μB/cell. The calculation puts the density of states at the Fermi level at 22.63 states/eV per cell.

=====

[4]
Entry from Alexandria: crystalline TbPr2Ho at its relaxed geometry (PBE-GGA). Values from VASP.

Quantum ESPRESSO input file:
```
&SYSTEM
  ibrav = 0, nat = 32, ntyp = 3
/
ATOMIC_SPECIES
Tb 158.93 Tb.upf
Pr 140.91 Pr.upf
Ho 164.93 Ho.upf
ATOMIC_POSITIONS angstrom
Tb 3.225 9.190 11.437
Tb 1.631 3.223 7.977
Tb 3.407 9.190 7.970
Tb 1.788 -3.223 1.508
Tb 5.000 3.223 11.430
Tb 3.381 -9.190 4.968
Tb 5.156 -3.223 4.961
Tb 3.563 -9.190 1.501
Pr 1.700 5.462 3.232
Pr 3.472 11.416 3.234
Pr 1.775 0.009 0.001
Pr 1.619 -0.009 6.470
Pr 3.239 5.957 12.933
Pr 3.393 5.957 6.474
Pr 1.543 -5.462 9.701
Pr 3.316 0.493 9.703
Pr 3.472 -0.493 3.234
Pr 5.245 5.462 3.237
Pr 3.549 -5.957 0.005
Pr 3.395 -5.957 6.464
Pr 5.013 -0.009 12.937
Pr 5.169 0.009 6.468
Pr 3.316 -11.416 9.703
Pr 5.088 -5.462 9.706
Ho 1.453 3.224 11.446
Ho 3.383 2.743 4.970
Ho 1.609 -3.224 4.978
Ho 3.561 2.743 1.499
Ho 3.227 -2.743 11.439
Ho 5.179 3.224 7.960
Ho 3.405 -2.743 7.968
Ho 5.335 -3.224 1.491
CELL_PARAMETERS angstrom
3.550 -11.927 0.000
3.550 11.927 0.000
-0.313 0.000 12.938
```

As for the energy of formation: 0.10 eV/atom. As for the volume: 34.240 A^3/atom. The value obtained for the raw total energy is -18.36 eV per formula unit. The value obtained for the distance to the lowest polymorph of the same formula is 0.090 eV per atom. As for the size of the total moment: 0.00 μB/cell. The calculation puts the density of states at the Fermi level at 51.30 states/eV per cell.

=====

[5]
Entry from Alexandria: crystalline Tb3PrHo12 at its relaxed geometry (PBE-GGA). Values from VASP.

Quantum ESPRESSO input file:
```
&SYSTEM
  ibrav = 0, nat = 16, ntyp = 3
/
ATOMIC_SPECIES
Tb 158.93 Tb.upf
Pr 140.91 Pr.upf
Ho 164.93 Ho.upf
ATOMIC_POSITIONS angstrom
Tb 0.000 0.000 0.000
Tb 0.000 0.000 4.989
Tb 0.000 0.000 15.052
Pr 0.000 0.000 10.020
Ho 0.000 2.505 2.493
Ho 0.000 2.505 7.475
Ho 0.000 2.505 12.566
Ho 0.000 2.505 17.548
Ho 2.505 0.000 2.493
Ho 2.505 0.000 7.475
Ho 2.505 0.000 12.566
Ho 2.505 0.000 17.548
Ho 2.505 2.505 0.000
Ho 2.505 2.505 4.979
Ho 2.505 2.505 10.020
Ho 2.505 2.505 15.062
CELL_PARAMETERS angstrom
5.009 0.000 0.000
0.000 5.009 0.000
0.000 0.000 20.040
```

As for the energy of formation: 0.02 eV/atom. As for the volume: 31.426 A^3/atom. The value obtained for the raw total energy is -73.27 eV per formula unit. As for the size of the total moment: 0.00 μB/cell. The calculation puts the density of states at the Fermi level at 21.05 states/eV per cell.

=====

[6]
Entry from Alexandria: crystalline Tb2PrHo9 at its relaxed geometry (PBE-GGA). Values from VASP.

Quantum ESPRESSO input file:
```
&SYSTEM
  ibrav = 0, nat = 12, ntyp = 3
/
ATOMIC_SPECIES
Tb 158.93 Tb.upf
Pr 140.91 Pr.upf
Ho 164.93 Ho.upf
ATOMIC_POSITIONS angstrom
Tb 0.000 6.470 0.000
Tb 5.603 3.235 0.000
Pr 0.000 0.000 0.000
Ho -2.801 4.852 0.000
Ho 0.000 3.456 1.755
Ho -2.610 7.976 1.755
Ho 2.993 1.728 1.755
Ho 5.603 0.000 0.000
Ho 2.801 4.852 0.000
Ho 2.610 7.976 1.755
Ho 8.213 1.728 1.755
Ho 5.603 6.248 1.755
CELL_PARAMETERS angstrom
11.206 0.000 0.000
-5.603 9.704 0.000
0.000 0.000 3.511
```

As for the energy of formation: 0.04 eV/atom. As for the volume: 31.815 A^3/atom. The value obtained for the raw total energy is -54.74 eV per formula unit. The value obtained for the distance to the lowest polymorph of the same formula is 0.019 eV per atom. As for the size of the total moment: 0.00 μB/cell. The calculation puts the density of states at the Fermi level at 16.69 states/eV per cell.

=====

[7]
Entry from Alexandria: crystalline TbPr8Ho5 at its relaxed geometry (PBE-GGA). Values from VASP.

Quantum ESPRESSO input file:
```
&SYSTEM
  ibrav = 0, nat = 14, ntyp = 3
/
ATOMIC_SPECIES
Tb 158.93 Tb.upf
Pr 140.91 Pr.upf
Ho 164.93 Ho.upf
ATOMIC_POSITIONS angstrom
Tb 0.000 0.000 0.000
Pr 6.623 0.871 0.030
Pr 1.677 -0.665 3.575
Pr 0.871 3.125 -0.030
Pr 3.197 5.539 -1.604
Pr 4.209 3.197 1.604
Pr 4.003 1.749 5.150
Pr 0.665 1.677 6.784
Pr -1.749 4.003 5.209
Ho 3.821 1.977 -1.827
Ho 4.874 0.000 2.590
Ho 2.897 -1.053 7.006
Ho 1.053 2.897 3.353
Ho 1.977 5.927 1.827
CELL_PARAMETERS angstrom
-4.874 4.874 5.180
4.874 -4.874 5.180
4.874 4.874 -5.180
```

As for the energy of formation: 0.25 eV/atom. As for the volume: 35.156 A^3/atom. The value obtained for the raw total energy is -62.29 eV per formula unit. As for the size of the total moment: 0.00 μB/cell. The calculation puts the density of states at the Fermi level at 20.87 states/eV per cell.

=====

[8]
Entry from Alexandria: crystalline Tb2Pr3Ho4 at its relaxed geometry (PBE-GGA). Values from VASP.

Quantum ESPRESSO input file:
```
&SYSTEM
  ibrav = 0, nat = 18, ntyp = 3
/
ATOMIC_SPECIES
Tb 158.93 Tb.upf
Pr 140.91 Pr.upf
Ho 164.93 Ho.upf
ATOMIC_POSITIONS angstrom
Tb 5.822 4.346 4.148
Tb 9.619 4.346 4.884
Tb 6.238 -4.346 1.137
Tb 10.035 -4.346 1.873
Pr 8.137 4.584 1.505
Pr 5.223 1.280 2.504
Pr 4.807 -1.280 5.514
Pr 11.050 1.280 0.507
Pr 10.634 -1.280 3.518
Pr 7.721 -4.584 4.516
Ho 2.930 1.549 5.146
Ho 6.685 1.533 5.885
Ho 3.346 -1.549 2.135
Ho 8.756 1.533 3.147
Ho 7.101 -1.533 2.875
Ho 12.511 1.549 3.886
Ho 9.172 -1.533 0.136
Ho 12.927 -1.549 0.876
CELL_PARAMETERS angstrom
8.344 -5.876 0.000
8.344 5.876 0.000
-0.832 0.000 6.021
```

As for the energy of formation: 0.10 eV/atom. As for the volume: 32.806 A^3/atom. The value obtained for the raw total energy is -41.01 eV per formula unit. The value obtained for the distance to the lowest polymorph of the same formula is 0.080 eV per atom. As for the size of the total moment: 0.00 μB/cell. The calculation puts the density of states at the Fermi level at 28.49 states/eV per cell.

=====

[9]
Entry from Alexandria: crystalline Tb4Pr8Ho3 at its relaxed geometry (PBE-GGA). Values from VASP.

Quantum ESPRESSO input file:
```
&SYSTEM
  ibrav = 0, nat = 15, ntyp = 3
/
ATOMIC_SPECIES
Tb 158.93 Tb.upf
Pr 140.91 Pr.upf
Ho 164.93 Ho.upf
ATOMIC_POSITIONS angstrom
Tb 0.000 0.000 0.000
Tb -1.645 0.000 3.050
Tb 3.476 3.070 0.000
Tb 3.476 -3.070 0.000
Pr 2.466 0.000 1.737
Pr 5.308 3.114 3.050
Pr 6.953 2.521 0.000
Pr 1.418 0.000 5.018
Pr 9.197 0.000 1.082
Pr 6.953 -2.521 0.000
Pr 5.308 -3.114 3.050
Pr 8.149 0.000 4.364
Ho 1.831 3.070 3.050
Ho 1.831 -3.070 3.050
Ho 5.308 0.000 3.050
CELL_PARAMETERS angstrom
6.953 -6.141 0.000
6.953 6.141 0.000
-3.291 0.000 6.100
```

As for the energy of formation: 0.32 eV/atom. As for the volume: 34.727 A^3/atom. The value obtained for the raw total energy is -65.62 eV per formula unit. As for the size of the total moment: 0.00 μB/cell. The calculation puts the density of states at the Fermi level at 22.90 states/eV per cell.

=====

[10]
Entry from Alexandria: crystalline Tb7Pr2Ho2 at its relaxed geometry (PBE-GGA). Values from VASP.

Quantum ESPRESSO input file:
```
&SYSTEM
  ibrav = 0, nat = 11, ntyp = 3
/
ATOMIC_SPECIES
Tb 158.93 Tb.upf
Pr 140.91 Pr.upf
Ho 164.93 Ho.upf
ATOMIC_POSITIONS angstrom
Tb 0.000 0.000 0.000
Tb 1.662 3.042 4.595
Tb 1.147 0.000 3.251
Tb 7.193 3.042 1.005
Tb 1.662 -3.042 4.595
Tb 7.708 0.000 2.348
Tb 7.193 -3.042 1.005
Pr 4.180 0.000 1.091
Pr 4.676 0.000 4.508
Ho 4.428 3.301 2.800
Ho 4.428 -3.301 2.800
CELL_PARAMETERS angstrom
5.647 -5.781 0.000
5.647 5.781 0.000
-2.439 0.000 5.600
```

As for the energy of formation: 0.15 eV/atom. As for the volume: 33.240 A^3/atom. The value obtained for the raw total energy is -49.50 eV per formula unit. The value obtained for the distance to the lowest polymorph of the same formula is 0.000 eV per atom. As for the size of the total moment: 0.00 μB/cell. The calculation puts the density of states at the Fermi level at 17.66 states/eV per cell.

=====

[11]
Entry from Alexandria: crystalline Tb3PrHo6 at its relaxed geometry (PBE-GGA). Values from VASP.

Quantum ESPRESSO input file:
```
&SYSTEM
  ibrav = 0, nat = 10, ntyp = 3
/
ATOMIC_SPECIES
Tb 158.93 Tb.upf
Pr 140.91 Pr.upf
Ho 164.93 Ho.upf
ATOMIC_POSITIONS angstrom
Tb 0.000 0.000 0.000
Tb 0.000 0.000 2.866
Tb 0.000 0.000 5.743
Pr 0.000 0.000 8.680
Ho -1.661 -2.833 4.793
Ho -3.304 0.041 6.732
Ho -1.623 2.855 4.793
Ho 1.617 -2.882 6.732
Ho 3.284 -0.022 4.793
Ho 1.688 2.841 6.732
CELL_PARAMETERS angstrom
4.914 2.837 3.878
-4.914 2.837 3.878
0.000 -5.674 3.878
```

As for the energy of formation: 0.28 eV/atom. As for the volume: 32.430 A^3/atom. The value obtained for the raw total energy is -43.29 eV per formula unit. The value obtained for the distance to the lowest polymorph of the same formula is 0.135 eV per atom. As for the size of the total moment: 0.00 μB/cell. The calculation puts the density of states at the Fermi level at 20.72 states/eV per cell.

=====

[12]
Entry from Alexandria: crystalline TbPr2Ho9 at its relaxed geometry (PBE-GGA). Values from VASP.

Quantum ESPRESSO input file:
```
&SYSTEM
  ibrav = 0, nat = 12, ntyp = 3
/
ATOMIC_SPECIES
Tb 158.93 Tb.upf
Pr 140.91 Pr.upf
Ho 164.93 Ho.upf
ATOMIC_POSITIONS angstrom
Tb 0.000 0.000 0.000
Pr 0.000 0.000 5.023
Pr 0.000 0.000 10.068
Ho 0.000 2.516 2.481
Ho 0.000 2.516 7.545
Ho 0.000 2.516 12.610
Ho 2.516 0.000 2.481
Ho 2.516 0.000 7.545
Ho 2.516 0.000 12.610
Ho 2.516 2.516 0.000
Ho 2.516 2.516 5.009
Ho 2.516 2.516 10.082
CELL_PARAMETERS angstrom
5.032 0.000 0.000
0.000 5.032 0.000
0.000 0.000 15.091
```

As for the energy of formation: 0.02 eV/atom. As for the volume: 31.849 A^3/atom. The value obtained for the raw total energy is -55.10 eV per formula unit. The value obtained for the distance to the lowest polymorph of the same formula is 0.000 eV per atom. As for the size of the total moment: 0.00 μB/cell. The calculation puts the density of states at the Fermi level at 17.03 states/eV per cell.